Arrangement 1

First-principles (PBE) data for a geometry-optimized ScCr2Ru structure, as listed in Alexandria via LeMat-Bulk.

Lattice parameters (Å, degrees): 5.0739 8.5814 2.7428 90.00 109.14 90.00
Closest atoms and distances in Å follow each position.
Fractional coordinates of all 8 atoms:
Sc 0.0000 0.0000 0.0000  2 Ru 2.54, 4 Cr 2.64, 2 Sc 2.74
Sc 0.5000 0.5000 0.0000  2 Ru 2.54, 4 Cr 2.64, 2 Sc 2.74
Cr 0.2500 0.2500 0.5000  4 Cr 2.54-2.74, 2 Ru 2.64, 2 Sc 2.64
Cr 0.2500 0.7500 0.5000  4 Cr 2.54-2.74, 2 Ru 2.64, 2 Sc 2.64
Cr 0.7500 0.2500 0.5000  4 Cr 2.54-2.74, 2 Ru 2.64, 2 Sc 2.64
Cr 0.7500 0.7500 0.5000  4 Cr 2.54-2.74, 2 Ru 2.64, 2 Sc 2.64
Ru 0.0000 0.5000 0.0000  2 Sc 2.54, 4 Cr 2.64, 2 Ru 2.74
Ru 0.5000 0.0000 0.0000  2 Sc 2.54, 4 Cr 2.64, 2 Ru 2.74



Arrangement 2

First-principles (PBE) data for a geometry-optimized ScCr2Ru structure, as listed in Alexandria via LeMat-Bulk.

Lattice parameters (Å, degrees): 2.7733 2.7733 26.1502 90.00 90.00 120.00
Closest atoms and distances in Å follow each position.
Fractional coordinates of all 12 atoms:
Sc 0.0000 0.0000 0.0000  6 Sc 2.77, 6 Cr 2.83
Sc 0.3333 0.6667 0.6667  6 Sc 2.77, 6 Cr 2.83
Sc 0.6667 0.3333 0.3333  6 Sc 2.77, 6 Cr 2.83
Cr 0.0000 0.0000 0.2443  3 Ru 2.59, 6 Cr 2.77, 3 Sc 2.83
Cr 0.0000 0.0000 0.7557  3 Ru 2.59, 6 Cr 2.77, 3 Sc 2.83
Cr 0.3333 0.6667 0.4223  3 Ru 2.59, 6 Cr 2.77, 3 Sc 2.83
Cr 0.3333 0.6667 0.9110  3 Ru 2.59, 6 Cr 2.77, 3 Sc 2.83
Cr 0.6667 0.3333 0.0890  3 Ru 2.59, 6 Cr 2.77, 3 Sc 2.83
Cr 0.6667 0.3333 0.5777  3 Ru 2.59, 6 Cr 2.77, 3 Sc 2.83
Ru 0.0000 0.0000 0.5000  6 Cr 2.59, 6 Ru 2.77
Ru 0.3333 0.6667 0.1667  6 Cr 2.59, 6 Ru 2.77
Ru 0.6667 0.3333 0.8333  6 Cr 2.59, 6 Ru 2.77



Most stable to least stable: arrangement 1, arrangement 2



Arrangement 1

First-principles (PBE) data for a geometry-optimized ScCr2Ru structure, as listed in Alexandria via LeMat-Bulk.

Lattice parameters (Å, degrees): 6.0692 6.0692 6.0692 90.00 90.00 90.00
Closest atoms and distances in Å follow each position.
Fractional coordinates of all 16 atoms:
Sc 0.0000 0.0000 0.0000  8 Cr 2.63
Sc 0.0000 0.5000 0.5000  8 Cr 2.63
Sc 0.5000 0.0000 0.5000  8 Cr 2.63
Sc 0.5000 0.5000 0.0000  8 Cr 2.63
Cr 0.2500 0.2500 0.2500  4 Ru 2.63, 4 Sc 2.63
Cr 0.2500 0.2500 0.7500  4 Ru 2.63, 4 Sc 2.63
Cr 0.2500 0.7500 0.2500  4 Ru 2.63, 4 Sc 2.63
Cr 0.2500 0.7500 0.7500  4 Ru 2.63, 4 Sc 2.63
Cr 0.7500 0.2500 0.2500  4 Ru 2.63, 4 Sc 2.63
Cr 0.7500 0.2500 0.7500  4 Ru 2.63, 4 Sc 2.63
Cr 0.7500 0.7500 0.2500  4 Ru 2.63, 4 Sc 2.63
Cr 0.7500 0.7500 0.7500  4 Ru 2.63, 4 Sc 2.63
Ru 0.0000 0.0000 0.5000  8 Cr 2.63
Ru 0.0000 0.5000 0.0000  8 Cr 2.63
Ru 0.5000 0.0000 0.0000  8 Cr 2.63
Ru 0.5000 0.5000 0.5000  8 Cr 2.63



Arrangement 2

First-principles (PBE) data for a geometry-optimized ScCr2Ru structure, as listed in Alexandria via LeMat-Bulk.

Lattice parameters (Å, degrees): 4.3184 4.3184 3.0175 90.00 90.00 90.00
Closest atoms and distances in Å follow each position.
Fractional coordinates of all 4 atoms:
Sc 0.0000 0.0000 0.0000  8 Cr 2.63
Cr 0.0000 0.5000 0.5000  4 Ru 2.63, 4 Sc 2.63
Cr 0.5000 0.0000 0.5000  4 Ru 2.63, 4 Sc 2.63
Ru 0.5000 0.5000 0.0000  8 Cr 2.63



Most stable to least stable: arrangement 1, arrangement 2



Arrangement 1

First-principles (PBE) data for a geometry-optimized ScCr2Ru structure, as listed in Alexandria via LeMat-Bulk.

Lattice parameters (Å, degrees): 3.0249 4.1975 8.9398 90.00 90.00 90.00
Closest atoms and distances in Å follow each position.
Fractional coordinates of all 8 atoms:
Sc 0.0000 0.0000 0.0000  4 Ru 2.59, 4 Cr 2.77
Sc 0.5000 0.5000 0.5000  4 Ru 2.59, 4 Cr 2.77
Cr 0.0000 0.5000 0.2410  4 Cr 2.59, 2 Ru 2.63, 2 Sc 2.77
Cr 0.0000 0.5000 0.7590  4 Cr 2.59, 2 Ru 2.63, 2 Sc 2.77
Cr 0.5000 0.0000 0.2590  4 Cr 2.59, 2 Ru 2.63, 2 Sc 2.77
Cr 0.5000 0.0000 0.7410  4 Cr 2.59, 2 Ru 2.63, 2 Sc 2.77
Ru 0.0000 0.0000 0.5000  4 Sc 2.59, 4 Cr 2.63
Ru 0.5000 0.5000 0.0000  4 Sc 2.59, 4 Cr 2.63



Arrangement 2

First-principles (PBE) data for a geometry-optimized ScCr2Ru structure, as listed in Alexandria via LeMat-Bulk.

Lattice parameters (Å, degrees): 2.8769 2.8769 24.5691 90.00 90.00 120.00
Closest atoms and distances in Å follow each position.
Fractional coordinates of all 12 atoms:
Sc 0.0000 0.0000 0.0000  3 Ru 2.82, 3 Cr 2.86, 6 Sc 2.88
Sc 0.3333 0.6667 0.6667  3 Ru 2.82, 3 Cr 2.86, 6 Sc 2.88
Sc 0.6667 0.3333 0.3333  3 Ru 2.82, 3 Cr 2.86, 6 Sc 2.88
Cr 0.0000 0.0000 0.2384  3 Cr 2.31
Cr 0.0000 0.0000 0.5064  3 Cr 2.31, 3 Ru 2.58
Cr 0.3333 0.6667 0.1730  3 Cr 2.31, 3 Ru 2.58
Cr 0.3333 0.6667 0.9051  3 Cr 2.31
Cr 0.6667 0.3333 0.5717  3 Cr 2.31
Cr 0.6667 0.3333 0.8397  3 Cr 2.31, 3 Ru 2.58
Ru 0.0000 0.0000 0.7594  3 Cr 2.58, 3 Sc 2.82, 6 Ru 2.88
Ru 0.3333 0.6667 0.4261  3 Cr 2.58, 3 Sc 2.82, 6 Ru 2.88
Ru 0.6667 0.3333 0.0927  3 Cr 2.58, 3 Sc 2.82, 6 Ru 2.88



Most stable to least stable: arrangement 1, arrangement 2



Arrangement 1

First-principles (PBE) data for a geometry-optimized ScCr2Ru structure, as listed in Alexandria via LeMat-Bulk.

Lattice parameters (Å, degrees): 4.9064 8.6532 2.7073 90.00 90.00 90.00
Closest atoms and distances in Å follow each position.
Fractional coordinates of all 8 atoms:
Sc 0.0000 0.0000 0.0000  2 Ru 2.45, 2 Sc 2.71
Sc 0.5000 0.5000 0.0000  2 Ru 2.45, 2 Sc 2.71
Cr 0.2500 0.2500 0.5000  4 Cr 2.45-2.71
Cr 0.2500 0.7500 0.5000  4 Cr 2.45-2.71
Cr 0.7500 0.2500 0.5000  4 Cr 2.45-2.71
Cr 0.7500 0.7500 0.5000  4 Cr 2.45-2.71
Ru 0.0000 0.5000 0.0000  2 Sc 2.45, 2 Ru 2.71
Ru 0.5000 0.0000 0.0000  2 Sc 2.45, 2 Ru 2.71



Arrangement 2

First-principles (PBE) data for a geometry-optimized ScCr2Ru structure, as listed in Alexandria via LeMat-Bulk.

Lattice parameters (Å, degrees): 7.0124 7.0124 5.1425 90.00 90.00 90.00
Closest atoms and distances in Å follow each position.
Fractional coordinates of all 16 atoms:
Sc 0.0000 0.0000 0.0000  2 Ru 2.57, 4 Cr 2.77
Sc 0.0000 0.5000 0.2500  2 Ru 2.57, 4 Cr 2.77
Sc 0.5000 0.0000 0.7500  2 Ru 2.57, 4 Cr 2.77
Sc 0.5000 0.5000 0.5000  2 Ru 2.57, 4 Cr 2.77
Cr 0.2090 0.7500 0.6250  2 Ru 2.37, 2 Cr 2.63
Cr 0.2500 0.2090 0.3750  2 Ru 2.37, 2 Cr 2.63
Cr 0.2500 0.2910 0.8750  2 Ru 2.37, 2 Cr 2.63
Cr 0.2910 0.7500 0.1250  2 Ru 2.37, 2 Cr 2.63
Cr 0.7090 0.2500 0.1250  2 Ru 2.37, 2 Cr 2.63
Cr 0.7500 0.7090 0.8750  2 Ru 2.37, 2 Cr 2.63
Cr 0.7500 0.7910 0.3750  2 Ru 2.37, 2 Cr 2.63
Cr 0.7910 0.2500 0.6250  2 Ru 2.37, 2 Cr 2.63
Ru 0.0000 0.0000 0.5000  4 Cr 2.37, 2 Sc 2.57
Ru 0.0000 0.5000 0.7500  4 Cr 2.37, 2 Sc 2.57
Ru 0.5000 0.0000 0.2500  4 Cr 2.37, 2 Sc 2.57
Ru 0.5000 0.5000 0.0000  4 Cr 2.37, 2 Sc 2.57



Most stable to least stable: arrangement 1, arrangement 2



Arrangement 1

First-principles (PBE) data for a geometry-optimized ScCr2Ru structure, as listed in Alexandria via LeMat-Bulk.

Lattice parameters (Å, degrees): 3.1110 4.1833 4.5785 90.00 90.00 90.00
Closest atoms and distances in Å follow each position.
Fractional coordinates of all 4 atoms:
Sc 0.0000 0.0000 0.0000  4 Ru 2.61, 4 Cr 2.77
Cr 0.0000 0.5000 0.5000  4 Cr 2.61, 4 Ru 2.77
Cr 0.5000 0.0000 0.5000  4 Cr 2.61, 4 Sc 2.77
Ru 0.5000 0.5000 0.0000  4 Sc 2.61, 4 Cr 2.77



Arrangement 2

First-principles (PBE) data for a geometry-optimized ScCr2Ru structure, as listed in Alexandria via LeMat-Bulk.

Lattice parameters (Å, degrees): 2.7485 4.2806 4.9380 90.00 102.95 90.00
Closest atoms and distances in Å follow each position.
Fractional coordinates of all 4 atoms:
Sc 0.0000 0.0000 0.0000  2 Ru 2.54, 4 Cr 2.66, 2 Sc 2.75
Cr 0.2621 0.5000 0.7458  4 Cr 2.53-2.75, 2 Ru 2.61, 2 Sc 2.66
Cr 0.7379 0.5000 0.2542  4 Cr 2.53-2.75, 2 Ru 2.61, 2 Sc 2.66
Ru 0.5000 0.0000 0.5000  2 Sc 2.54, 4 Cr 2.61, 2 Ru 2.75



Arrangement 3

First-principles (PBE) data for a geometry-optimized ScCr2Ru structure, as listed in Alexandria via LeMat-Bulk.

Lattice parameters (Å, degrees): 4.3598 4.3598 6.1572 90.00 90.00 90.00
Closest atoms and distances in Å follow each position.
Fractional coordinates of all 8 atoms:
Sc 0.0000 0.0000 0.0000  4 Cr 2.67, 4 Ru 2.67
Sc 0.5000 0.5000 0.5000  4 Cr 2.67, 4 Ru 2.67
Cr 0.0000 0.0000 0.5000  4 Cr 2.67, 4 Ru 2.67
Cr 0.0000 0.5000 0.7500  4 Cr 2.67, 4 Sc 2.67
Cr 0.5000 0.0000 0.2500  4 Sc 2.67, 4 Cr 2.67
Cr 0.5000 0.5000 0.0000  4 Cr 2.67, 4 Ru 2.67
Ru 0.0000 0.5000 0.2500  4 Sc 2.67, 4 Cr 2.67
Ru 0.5000 0.0000 0.7500  4 Cr 2.67, 4 Sc 2.67



Most stable to least stable: arrangement 1, arrangement 3, arrangement 2



Arrangement 1

First-principles (PBE) data for a geometry-optimized CrRuSe structure, as listed in Alexandria via LeMat-Bulk.

Lattice parameters (Å, degrees): 2.9219 2.9219 9.7491 90.00 90.00 90.00
Closest atoms and distances in Å follow each position.
Fractional coordinates of all 6 atoms:
Cr 0.0000 0.0000 0.0000  4 Se 2.55, 4 Ru 2.61
Cr 0.5000 0.5000 0.5000  4 Se 2.55, 4 Ru 2.61
Ru 0.0000 0.0000 0.3364  4 Cr 2.61, 4 Se 2.73, 4 Ru 2.92
Ru 0.5000 0.5000 0.8364  4 Cr 2.61, 4 Se 2.73, 4 Ru 2.92
Se 0.0000 0.0000 0.6527  4 Cr 2.55, 4 Ru 2.73
Se 0.5000 0.5000 0.1527  4 Cr 2.55, 4 Ru 2.73



Arrangement 2

First-principles (PBE) data for a geometry-optimized CrRuSe structure, as listed in Alexandria via LeMat-Bulk.

Lattice parameters (Å, degrees): 4.0738 4.0738 2.9221 90.00 90.00 120.00
Closest atoms and distances in Å follow each position.
Fractional coordinates of all 3 atoms:
Cr 0.0000 0.0000 0.0000  3 Se 2.35
Ru 0.3333 0.6667 0.5000  6 Cr 2.77, 6 Se 2.77, 2 Ru 2.92
Se 0.6667 0.3333 0.0000  3 Cr 2.35



Arrangement 3

First-principles (PBE) data for a geometry-optimized CrRuSe structure, as listed in Alexandria via LeMat-Bulk.

Lattice parameters (Å, degrees): 5.8514 5.8514 5.8514 90.00 90.00 90.00
Closest atoms and distances in Å follow each position.
Fractional coordinates of all 12 atoms:
Cr 0.0000 0.0000 0.0000  4 Ru 2.53
Cr 0.0000 0.5000 0.5000  4 Ru 2.53
Cr 0.5000 0.0000 0.5000  4 Ru 2.53
Cr 0.5000 0.5000 0.0000  4 Ru 2.53
Ru 0.2500 0.2500 0.2500  4 Cr 2.53, 4 Se 2.53
Ru 0.2500 0.7500 0.7500  4 Cr 2.53, 4 Se 2.53
Ru 0.7500 0.2500 0.7500  4 Cr 2.53, 4 Se 2.53
Ru 0.7500 0.7500 0.2500  4 Cr 2.53, 4 Se 2.53
Se 0.0000 0.0000 0.5000  4 Ru 2.53
Se 0.0000 0.5000 0.0000  4 Ru 2.53
Se 0.5000 0.0000 0.0000  4 Ru 2.53
Se 0.5000 0.5000 0.5000  4 Ru 2.53



Most stable to least stable: arrangement 3, arrangement 1, arrangement 2